1.
The following is a GGA-PBE calculation of a relaxed Ac3Co5I12 crystal, from Alexandria via LeMat-Bulk.

Lattice parameters (Å, degrees): 15.000 15.000 15.000 109.47 109.47 109.47
Fractional positions:
Ac  0.750  0.375  0.125
Ac  0.875  0.750  0.125
Ac  0.375  0.750  0.625
Ac  0.250  0.125  0.375
Ac  0.875  0.125  0.250
Ac  0.375  0.625  0.250
Ac  0.625  0.375  0.750
Ac  0.125  0.875  0.750
Ac  0.750  0.875  0.625
Ac  0.625  0.250  0.375
Ac  0.125  0.250  0.875
Ac  0.250  0.625  0.875
Co  0.125  0.375  0.250
Co  0.000  0.500  0.000
Co  0.000  0.000  0.000
Co  0.375  0.250  0.125
Co  0.500  0.000  0.500
Co  0.500  0.500  0.000
Co  0.125  0.750  0.375
Co  0.750  0.125  0.875
Co  0.750  0.625  0.375
Co  0.375  0.125  0.750
Co  0.625  0.875  0.250
Co  0.500  0.500  0.500
Co  0.500  0.000  0.000
Co  0.000  0.000  0.500
Co  0.250  0.375  0.625
Co  0.250  0.875  0.125
Co  0.000  0.500  0.500
Co  0.875  0.250  0.625
Co  0.625  0.750  0.875
Co  0.875  0.625  0.750
I  0.703  0.113  0.022
I  0.319  0.522  0.409
I  0.978  0.387  0.297
I  0.522  0.203  0.113
I  0.590  0.703  0.681
I  0.978  0.591  0.181
I  0.319  0.797  0.410
I  0.091  0.910  0.113
I  0.591  0.978  0.681
I  0.703  0.590  0.181
I  0.797  0.478  0.387
I  0.819  0.909  0.022
I  0.113  0.703  0.522
I  0.387  0.409  0.090
I  0.090  0.909  0.387
I  0.410  0.113  0.591
I  0.090  0.181  0.203
I  0.478  0.681  0.091
I  0.819  0.910  0.297
I  0.113  0.410  0.091
I  0.387  0.978  0.797
I  0.591  0.613  0.410
I  0.909  0.819  0.522
I  0.797  0.319  0.910
I  0.409  0.387  0.590
I  0.091  0.181  0.478
I  0.203  0.681  0.090
I  0.181  0.090  0.703
I  0.613  0.022  0.203
I  0.887  0.590  0.909
I  0.522  0.319  0.909
I  0.590  0.887  0.409
I  0.910  0.819  0.797
I  0.910  0.091  0.613
I  0.887  0.297  0.478
I  0.181  0.091  0.978
I  0.613  0.591  0.910
I  0.409  0.022  0.319
I  0.297  0.410  0.819
I  0.203  0.522  0.613
I  0.909  0.090  0.887
I  0.681  0.203  0.590
I  0.478  0.797  0.887
I  0.022  0.409  0.819
I  0.410  0.297  0.319
I  0.022  0.613  0.703
I  0.681  0.478  0.591
I  0.297  0.887  0.978

Calculated values
- Density of states at the Fermi level: 86.1 states/eV/cell
- Density: 6.39 g/cm³
- Formation energy (no corrections): -0.46 eV per atom
- Space group: No. 230

2.
The following is a GGA-PBE calculation of a relaxed Ac4CoI6 crystal, from Alexandria via LeMat-Bulk.

Lattice parameters (Å, degrees): 8.414 11.058 11.058 120.00 90.00 90.00
Fractional positions:
Ac  0.422  0.333  0.667
Ac  0.922  0.667  0.333
Ac  0.839  0.588  0.794
Ac  0.839  0.206  0.412
Ac  0.839  0.206  0.794
Ac  0.339  0.412  0.206
Ac  0.339  0.794  0.588
Ac  0.339  0.794  0.206
Co  0.754  0.333  0.667
Co  0.254  0.667  0.333
I  0.454  0.713  0.857
I  0.454  0.143  0.287
I  0.454  0.143  0.857
I  0.954  0.287  0.143
I  0.954  0.857  0.713
I  0.954  0.857  0.143
I  0.646  0.936  0.468
I  0.646  0.532  0.064
I  0.646  0.532  0.468
I  0.146  0.064  0.532
I  0.146  0.468  0.936
I  0.146  0.468  0.532

Calculated values
- Density of states at the Fermi level: 13.6 states/eV/cell
- Density: 6.44 g/cm³
- Formation energy (no corrections): -1.01 eV per atom
- Space group: No. 186

3.
The following is a GGA-PBE calculation of a relaxed Ac2CoI2 crystal, from Alexandria via LeMat-Bulk.

Lattice parameters (Å, degrees): 4.340 4.340 12.269 79.81 79.81 60.00
Fractional positions:
Ac  0.379  0.379  0.862
Ac  0.621  0.621  0.138
Co  0.000  0.000  0.000
I  0.889  0.889  0.333
I  0.111  0.111  0.667

Calculated values
- Density of states at the Fermi level: 3.7 states/eV/cell
- Density: 6.50 g/cm³
- Formation energy (no corrections): -0.72 eV per atom
- Space group: No. 166

4.
The following is a GGA-PBE calculation of a relaxed Ac5Co2I2 crystal, from Alexandria via LeMat-Bulk.

Lattice parameters (Å, degrees): 8.389 8.332 9.922 90.00 65.00 90.00
Fractional positions:
Ac  0.000  0.000  0.000
Ac  0.500  0.500  0.000
Ac  0.451  0.154  0.788
Ac  0.761  0.846  0.788
Ac  0.261  0.654  0.788
Ac  0.951  0.346  0.788
Ac  0.549  0.846  0.212
Ac  0.239  0.154  0.212
Ac  0.739  0.346  0.212
Ac  0.049  0.654  0.212
Co  0.145  0.353  0.000
Co  0.855  0.647  0.000
Co  0.355  0.853  0.000
Co  0.645  0.147  0.000
I  0.212  0.000  0.576
I  0.712  0.500  0.576
I  0.788  0.000  0.424
I  0.288  0.500  0.424

Calculated values
- Density of states at the Fermi level: 15.1 states/eV/cell
- Density: 7.96 g/cm³
- Formation energy (no corrections): -0.40 eV per atom
- Space group: No. 64

5.
The following is a GGA-PBE calculation of a relaxed AcCoI2 crystal, from Alexandria via LeMat-Bulk.

Lattice parameters (Å, degrees): 4.116 4.116 10.111 78.26 78.26 60.00
Fractional positions:
I  0.084  0.084  0.748
I  0.916  0.916  0.252
Ac  0.500  0.500  0.500
Co  0.000  0.000  0.000

Calculated values
- Density of states at the Fermi level: 4.4 states/eV/cell
- Density: 6.22 g/cm³
- Formation energy (no corrections): -0.11 eV per atom
- Space group: No. 166

6.
The following is a GGA-PBE calculation of a relaxed Ac3CoI crystal, from Alexandria via LeMat-Bulk.

Lattice parameters (Å, degrees): 5.715 5.715 5.715 90.00 90.00 90.00
Fractional positions:
I  0.500  0.500  0.500
Ac  0.000  0.500  0.000
Ac  0.000  0.000  0.500
Ac  0.500  0.000  0.000
Co  0.000  0.000  0.000

Calculated values
- Density of states at the Fermi level: 5.0 states/eV/cell
- Density: 7.71 g/cm³
- Energy above the most stable polymorph in this dataset: 164.7 meV per atom
- Formation energy (no corrections): -0.22 eV per atom
- Space group: No. 221

7.
The following is a GGA-PBE calculation of a relaxed Ac3CoI crystal, from Alexandria via LeMat-Bulk.

Lattice parameters (Å, degrees): 7.201 10.277 10.277 100.26 86.63 86.63
Fractional positions:
Ac  0.100  0.809  0.952
Ac  0.400  0.048  0.191
Ac  0.900  0.191  0.048
Ac  0.600  0.952  0.809
Ac  0.405  0.317  0.930
Ac  0.095  0.070  0.683
Ac  0.595  0.683  0.070
Ac  0.905  0.930  0.317
Ac  0.931  0.442  0.774
Ac  0.569  0.226  0.558
Ac  0.069  0.558  0.226
Ac  0.431  0.774  0.442
Co  0.750  0.933  0.067
Co  0.250  0.067  0.933
Co  0.750  0.212  0.788
Co  0.250  0.788  0.212
I  0.455  0.582  0.712
I  0.045  0.288  0.418
I  0.545  0.418  0.288
I  0.955  0.712  0.582

Calculated values
- Density of states at the Fermi level: 13.6 states/eV/cell
- Density: 7.73 g/cm³
- Energy above the most stable polymorph in this dataset: 0.0 meV per atom
- Formation energy (no corrections): -0.39 eV per atom
- Space group: No. 15

8.
The following is a GGA-PBE calculation of a relaxed Ac2CoI crystal, from Alexandria via LeMat-Bulk.

Lattice parameters (Å, degrees): 4.269 4.269 8.967 76.23 76.23 60.00
Fractional positions:
I  0.500  0.500  0.500
Ac  0.273  0.273  0.181
Ac  0.727  0.727  0.819
Co  0.000  0.000  0.000

Calculated values
- Density of states at the Fermi level: 0.9 states/eV/cell
- Density: 7.81 g/cm³
- Energy above the most stable polymorph in this dataset: 0.0 meV per atom
- Formation energy (no corrections): -0.62 eV per atom
- Space group: No. 166

9.
The following is a GGA-PBE calculation of a relaxed Ac2CoI crystal, from Alexandria via LeMat-Bulk.

Lattice parameters (Å, degrees): 4.255 4.255 9.021 76.36 76.36 60.00
Fractional positions:
Ac  0.060  0.060  0.819
Ac  0.273  0.273  0.181
Co  0.668  0.668  0.997
I  0.499  0.499  0.503

Calculated values
- Density of states at the Fermi level: 1.2 states/eV/cell
- Density: 7.81 g/cm³
- Energy above the most stable polymorph in this dataset: 13.5 meV per atom
- Formation energy (no corrections): -0.61 eV per atom
- Space group: No. 160

10.
The following is a GGA-PBE calculation of a relaxed Ac2CoI crystal, from Alexandria via LeMat-Bulk.

Lattice parameters (Å, degrees): 3.733 3.733 8.903 90.00 90.00 90.00
Fractional positions:
I  0.500  0.500  0.500
Ac  0.000  0.000  0.800
Ac  0.000  0.000  0.200
Co  0.500  0.500  0.000

Calculated values
- Density of states at the Fermi level: 3.8 states/eV/cell
- Density: 8.56 g/cm³
- Energy above the most stable polymorph in this dataset: 264.0 meV per atom
- Formation energy (no corrections): -0.36 eV per atom
- Space group: No. 123

11.
The following is a GGA-PBE calculation of a relaxed Ac2CoI crystal, from Alexandria via LeMat-Bulk.

Lattice parameters (Å, degrees): 4.146 7.845 9.717 113.81 89.80 90.50
Fractional positions:
Ac  0.281  0.347  0.194
Ac  0.719  0.653  0.806
Ac  0.781  0.154  0.806
Ac  0.219  0.846  0.194
Co  0.750  0.525  0.050
Co  0.250  0.475  0.950
I  0.250  0.770  0.540
I  0.750  0.230  0.460

Calculated values
- Density of states at the Fermi level: 5.8 states/eV/cell
- Density: 7.35 g/cm³
- Energy above the most stable polymorph in this dataset: 135.4 meV per atom
- Formation energy (no corrections): -0.49 eV per atom
- Space group: No. 15

12.
The following is a GGA-PBE calculation of a relaxed Ac6InCo2I3 crystal, from Alexandria via LeMat-Bulk.

Lattice parameters (Å, degrees): 4.319 10.280 10.914 109.93 101.41 90.00
Fractional positions:
Ac  0.333  0.852  0.665
Ac  0.685  0.551  0.370
Ac  0.667  0.148  0.335
Ac  0.032  0.261  0.064
Ac  0.968  0.739  0.936
Ac  0.315  0.449  0.630
In  0.500  0.000  0.000
Co  0.828  0.654  0.655
Co  0.172  0.346  0.345
I  0.500  0.500  0.000
I  0.839  0.161  0.679
I  0.161  0.839  0.321

Calculated values
- Density of states at the Fermi level: 6.5 states/eV/cell
- Density: 7.37 g/cm³
- Formation energy (no corrections): -0.63 eV per atom
- Space group: No. 12

13.
The following is a GGA-PBE calculation of a relaxed Ac4InCoI2 crystal, from Alexandria via LeMat-Bulk.

Lattice parameters (Å, degrees): 4.338 8.357 8.965 106.88 90.00 90.00
Fractional positions:
Ac  0.500  0.286  0.195
Ac  0.500  0.714  0.805
Ac  0.000  0.290  0.813
Ac  0.000  0.710  0.187
In  0.000  0.000  0.000
Co  0.500  0.500  0.000
I  0.500  0.000  0.500
I  0.000  0.500  0.500

Calculated values
- Density of states at the Fermi level: 6.3 states/eV/cell
- Density: 7.13 g/cm³
- Formation energy (no corrections): -0.61 eV per atom
- Space group: No. 10

14.
The following is a GGA-PBE calculation of a relaxed Ac8CoIr3I4 crystal, from Alexandria via LeMat-Bulk.

Lattice parameters (Å, degrees): 8.737 10.000 8.738 115.92 119.99 90.00
Fractional positions:
Ac  0.225  0.683  0.958
Ac  0.226  0.683  0.451
Ac  0.272  0.316  0.543
Ac  0.732  0.683  0.958
Ac  0.268  0.317  0.042
Ac  0.728  0.684  0.457
Ac  0.774  0.317  0.549
Ac  0.775  0.317  0.042
Co  0.000  0.500  0.000
Ir  0.500  0.500  0.000
Ir  0.500  0.500  0.500
Ir  0.000  0.500  0.500
I  0.500  0.000  0.000
I  0.500  0.000  0.500
I  0.000  0.000  0.000
I  0.000  0.000  0.500

Calculated values
- Density of states at the Fermi level: 3.6 states/eV/cell
- Density: 8.61 g/cm³
- Formation energy (no corrections): -0.96 eV per atom
- Space group: No. 166

15.
The following is a GGA-PBE calculation of a relaxed Ac8Co3IrI4 crystal, from Alexandria via LeMat-Bulk.

Lattice parameters (Å, degrees): 8.607 9.951 8.611 115.61 119.98 90.00
Fractional positions:
Ac  0.230  0.683  0.953
Ac  0.230  0.682  0.460
Ac  0.273  0.319  0.545
Ac  0.723  0.683  0.953
Ac  0.277  0.317  0.047
Ac  0.727  0.681  0.455
Ac  0.770  0.318  0.540
Ac  0.770  0.317  0.047
Co  0.500  0.500  0.000
Co  0.500  0.500  0.500
Co  0.000  0.500  0.500
Ir  0.000  0.500  0.000
I  0.500  0.000  0.000
I  0.500  0.000  0.500
I  0.000  0.000  0.000
I  0.000  0.000  0.500

Calculated values
- Density of states at the Fermi level: 3.7 states/eV/cell
- Density: 8.08 g/cm³
- Formation energy (no corrections): -0.73 eV per atom
- Space group: No. 12

16.
The following is a GGA-PBE calculation of a relaxed Ac6CoIr2I3 crystal, from Alexandria via LeMat-Bulk.

Lattice parameters (Å, degrees): 7.553 7.553 8.980 98.05 98.05 120.00
Fractional positions:
Ac  0.939  0.611  0.817
Ac  0.733  0.733  0.183
Ac  0.061  0.389  0.183
Ac  0.611  0.939  0.817
Ac  0.267  0.267  0.817
Ac  0.389  0.061  0.183
Co  0.000  0.000  0.000
Ir  0.333  0.667  0.000
Ir  0.667  0.333  0.000
I  0.166  0.834  0.500
I  0.834  0.166  0.500
I  0.500  0.500  0.500

Calculated values
- Density of states at the Fermi level: 3.3 states/eV/cell
- Density: 8.52 g/cm³
- Formation energy (no corrections): -0.92 eV per atom
- Space group: No. 12

17.
The following is a GGA-PBE calculation of a relaxed Ac4CoIrI2 crystal, from Alexandria via LeMat-Bulk.

Lattice parameters (Å, degrees): 4.337 7.515 8.974 106.02 90.00 90.00
Fractional positions:
Ac  0.500  0.232  0.184
Ac  0.500  0.768  0.816
Ac  0.000  0.278  0.818
Ac  0.000  0.722  0.182
Co  0.500  0.500  0.000
Ir  0.000  0.000  0.000
I  0.500  0.000  0.500
I  0.000  0.500  0.500

Calculated values
- Density of states at the Fermi level: 2.2 states/eV/cell
- Density: 8.35 g/cm³
- Formation energy (no corrections): -0.84 eV per atom
- Space group: No. 10

18.
The following is a GGA-PBE calculation of a relaxed Ac2LaCo2I2 crystal, from Alexandria via LeMat-Bulk.

Lattice parameters (Å, degrees): 4.837 4.837 9.874 104.18 104.18 90.00
Fractional positions:
Ac  0.392  0.392  0.783
Ac  0.608  0.608  0.217
La  0.000  0.000  0.000
Co  0.000  0.500  0.000
Co  0.500  0.000  0.000
I  0.188  0.188  0.375
I  0.812  0.812  0.625

Calculated values
- Density of states at the Fermi level: 7.4 states/eV/cell
- Density: 7.39 g/cm³
- Formation energy (no corrections): -0.48 eV per atom
- Space group: No. 139

19.
The following is a GGA-PBE calculation of a relaxed AcLaCoI crystal, from Alexandria via LeMat-Bulk.

Lattice parameters (Å, degrees): 4.187 4.182 8.816 90.04 103.63 119.97
Fractional positions:
Ac  0.515  0.155  0.687
La  0.092  0.944  0.049
Co  0.311  0.554  0.881
I  0.959  0.378  0.352

Calculated values
- Density of states at the Fermi level: 1.2 states/eV/cell
- Density: 7.12 g/cm³
- Formation energy (no corrections): -0.64 eV per atom
- Space group: No. 8